First-principles (GGA-PBE) data for an optimized crystal structure of CuNiMoN2, as listed in Alexandria.

a b c (Å): 3.6874 3.6874 4.2481
angles (deg): 90.00 90.00 90.00
Last column: nearest neighbours and their distance in Å.
Space group P4/mmm (No. 123)
Asymmetric unit:
Cu: 0.0000 0.0000 0.0000 (multiplicity 1)  4 N 1.84
Ni: 0.0000 0.0000 0.5000 (multiplicity 1)  2 Cu 2.12
Mo: 0.5000 0.5000 0.5000 (multiplicity 1)  4 Ni 2.61, 8 N 2.81
N: 0.0000 0.5000 0.0000 (multiplicity 2)  2 Cu 1.84

- formation energy from raw total energies (eV per formula unit) = 8.75
- M_tot (Bohr magnetons per cell) = 0.01
- density of states at the Fermi level (states/eV/cell) = 4.58
- VASP energy (eV per atom) = -5.72